Model 1:
Entry from Alexandria via LeMat-Bulk: a geometry-optimized TeHCl3 structure (PBE).

Geometry as POSCAR:
```
TeHCl3
1.0
5.296 0.000 0.000
0.000 5.296 0.000
0.000 0.000 5.296
Cl Te H
3 1 1
Cartesian
0.000 0.000 2.648
2.648 0.000 0.000
0.000 2.648 0.000
0.000 0.000 0.000
2.648 2.648 2.648
```

## Properties
DOS(E_F): 0.3243 states/eV per atom
space group: No. 221


Model 2:
Entry from Alexandria via LeMat-Bulk: a geometry-optimized TeHCl3 structure (PBE).

Geometry as POSCAR:
```
TeHCl3
1.0
4.461 0.000 0.000
0.000 4.461 0.000
0.000 0.000 4.461
H Cl Te
1 3 1
Cartesian
0.000 0.000 0.000
0.000 2.230 0.000
2.230 0.000 0.000
0.000 0.000 2.230
2.230 2.230 2.230
```

## Properties
DOS(E_F): 0.4001 states/eV per atom
space group: No. 221


Least stable: model 2


Model 1:
Entry from Alexandria via LeMat-Bulk: a geometry-optimized TiHCl3 structure (PBE).

Geometry as POSCAR:
```
TiHCl3
1.0
7.453 -0.090 2.362
-3.737 6.449 -2.362
-1.665 -3.292 6.893
Cl H Ti
6 2 2
Cartesian
-2.931 3.622 3.860
4.731 -0.755 6.183
-0.808 2.381 0.671
2.807 0.369 3.072
3.709 4.107 1.543
0.093 1.955 5.350
2.893 -1.845 8.025
-0.976 4.681 -1.132
5.569 2.984 1.268
-1.798 3.025 5.626
```

## Properties
DOS(E_F): 0.0000 states/eV per atom
space group: No. 46


Model 2:
Entry from Alexandria via LeMat-Bulk: a geometry-optimized TiHCl3 structure (PBE).

Geometry as POSCAR:
```
TiHCl3
1.0
4.824 0.000 0.000
0.000 4.824 0.000
0.000 0.000 4.824
Ti Cl H
1 3 1
Cartesian
0.000 0.000 0.000
0.000 2.412 0.000
2.412 0.000 0.000
0.000 0.000 2.412
2.412 2.412 2.412
```

## Properties
DOS(E_F): 0.4811 states/eV per atom
space group: No. 221


Model 3:
Entry from Alexandria via LeMat-Bulk: a geometry-optimized TiHCl3 structure (PBE).

Geometry as POSCAR:
```
TiHCl3
1.0
4.369 0.000 0.000
0.000 4.369 0.000
0.000 0.000 4.369
H Cl Ti
1 3 1
Cartesian
0.000 0.000 0.000
0.000 2.184 0.000
0.000 0.000 2.184
2.184 0.000 0.000
2.184 2.184 2.184
```

## Properties
DOS(E_F): 0.5831 states/eV per atom
space group: No. 221


Least stable: model 3


Model 1:
Entry from Alexandria via LeMat-Bulk: a geometry-optimized Ti2HCl structure (PBE).

Geometry as POSCAR:
```
Ti2HCl
1.0
4.979 0.000 0.000
0.000 4.979 0.000
2.489 2.489 4.671
Ti Cl H
4 2 2
Cartesian
3.734 4.099 3.503
6.223 5.859 3.503
1.609 3.734 1.168
3.369 1.245 1.168
4.979 2.489 2.335
0.000 0.000 0.000
2.489 2.489 0.000
2.489 4.979 2.335
```

## Properties
DOS(E_F): 0.6628 states/eV per atom
space group: No. 122


Model 2:
Entry from Alexandria via LeMat-Bulk: a geometry-optimized Ti2HCl structure (PBE).

Geometry as POSCAR:
```
Ti2HCl
1.0
0.000 2.917 2.917
2.917 0.000 2.917
2.917 2.917 0.000
Ti H Cl
2 1 1
Cartesian
4.376 4.376 4.376
1.459 1.459 1.459
0.000 0.000 0.000
2.917 2.917 2.917
```

## Properties
DOS(E_F): 1.0693 states/eV per atom
space group: No. 225


Least stable: model 2


Model 1:
Entry from Alexandria via LeMat-Bulk: a geometry-optimized TiH2Cl structure (PBE).

Geometry as POSCAR:
```
TiH2Cl
1.0
3.723 0.000 0.000
0.000 3.723 0.000
1.862 1.862 6.342
H Ti Cl
4 2 2
Cartesian
2.792 1.860 4.757
3.725 0.931 1.586
4.654 1.863 4.757
3.722 2.792 1.586
3.723 1.862 3.171
0.000 0.000 0.000
1.862 1.862 0.000
1.862 3.723 3.171
```

## Properties
DOS(E_F): 0.6955 states/eV per atom
space group: No. 141


Model 2:
Entry from Alexandria via LeMat-Bulk: a geometry-optimized TiH2Cl structure (PBE).

Geometry as POSCAR:
```
TiH2Cl
1.0
0.000 2.743 2.743
2.743 0.000 2.743
2.743 2.743 0.000
H Ti Cl
2 1 1
Cartesian
4.114 4.114 4.114
1.371 1.371 1.371
2.743 2.743 2.743
0.000 0.000 0.000
```

## Properties
DOS(E_F): 0.8736 states/eV per atom
space group: No. 225


Least stable: model 2


Model 1:
Entry from Alexandria via LeMat-Bulk: a geometry-optimized Ti2H2Cl structure (PBE).

Geometry as POSCAR:
```
Ti2H2Cl
1.0
3.023 0.000 0.000
0.000 3.023 0.000
1.512 1.512 5.687
H Ti Cl
2 2 1
Cartesian
3.023 1.512 2.843
1.512 3.023 2.843
3.023 3.023 4.018
1.512 1.512 1.669
0.000 0.000 0.000
```

## Properties
DOS(E_F): 0.8977 states/eV per atom
space group: No. 139


Model 2:
Entry from Alexandria via LeMat-Bulk: a geometry-optimized Ti2H2Cl structure (PBE).

Geometry as POSCAR:
```
Ti2H2Cl
1.0
-3.376 -0.015 -5.253
-5.206 -0.825 3.348
-0.328 2.894 0.203
H Ti Cl
4 4 2
Cartesian
-6.840 0.711 -0.202
-5.121 1.120 -3.251
-3.789 0.934 1.548
-2.070 1.343 -1.501
-2.962 -0.132 -2.909
-5.619 -0.708 1.004
-2.331 -0.292 0.397
-6.250 -0.548 -2.302
0.000 0.000 0.000
-4.291 -0.420 -0.953
```

## Properties
DOS(E_F): 0.7233 states/eV per atom
space group: No. 127


Least stable: model 2